## BaBrO (PBE)

Data for a relaxed BaBrO crystal.

Results
Its calculated volume is 28.5 Å³/atom. The calculation puts the formation energy from raw total energies at -1.97 eV/atom. The space group is P1, No. 1.

abc: 4.4120 4.4122 10.1545
angles: 91.04 91.80 119.99
Fractional coordinates of all 6 atoms:
1 Ba 0.6425 0.2511 0.5057
2 Ba 0.7028 0.3015 0.9870
3 Br 0.0042 0.9435 0.2462
4 O 0.0442 0.9753 0.0396
5 Br 0.3393 0.6097 0.7463
6 O 0.9669 0.9108 0.4528

## Pm6Er2Tm3Tl (PBE)

Data for a relaxed Pm6Er2Tm3Tl crystal.

Results
Its calculated volume is 31.6 Å³/atom. As for the uncorrected energy: -53.50 eV for the cell shown. The space group is C2/m, No. 12.

abc: 6.1631 6.1631 11.7119
angles: 95.06 95.06 120.07
Fractional coordinates of all 12 atoms:
1 Pm 0.2456 0.2456 0.7493
2 Pm 0.4123 0.0832 0.2494
3 Er 0.6665 0.3335 0.0000
4 Tm 0.8326 0.1674 0.5000
5 Er 0.3335 0.6665 0.0000
6 Tm 0.5000 0.5000 0.5000
7 Pm 0.7544 0.7544 0.2507
8 Pm 0.9168 0.5877 0.7506
9 Pm 0.0832 0.4123 0.2494
10 Pm 0.5877 0.9168 0.7506
11 Tl 0.0000 0.0000 0.0000
12 Tm 0.1674 0.8326 0.5000

## RbMn2GaHg (PBE)

Data for a relaxed RbMn2GaHg crystal.

Results
Its calculated volume is 36.4 Å³/atom. As for the uncorrected energy: -18.36 eV for the cell shown. The space group is P4/mmm, No. 123.

abc: 5.6452 5.7071 5.6452
angles: 90.00 90.00 90.00
Fractional coordinates of all 5 atoms:
1 Mn 0.5000 0.0000 0.0000
2 Hg 0.0000 0.0000 0.0000
3 Mn 0.0000 0.0000 0.5000
4 Rb 0.5000 0.5000 0.5000
5 Ga 0.0000 0.5000 0.0000

## SrOsO5 (PBE)

Data for a relaxed SrOsO5 crystal.

Results
Its calculated volume is 15.3 Å³/atom. The calculation puts the formation energy from raw total energies at -1.52 eV/atom. The space group is Cc, No. 9.

abc: 5.5722 5.5722 7.6013
angles: 95.58 95.58 112.60
Fractional coordinates of all 14 atoms:
1 O 0.0645 0.7435 0.9028
2 Sr 0.3790 0.6142 0.2517
3 O 0.3341 0.2280 0.0158
4 O 0.6587 0.7813 0.0015
5 O 0.7435 0.0645 0.4028
6 O 0.8982 0.0981 0.7530
7 O 0.7813 0.6587 0.5015
8 O 0.9297 0.2713 0.1083
9 Os 0.9803 0.0191 0.9668
10 O 0.0981 0.8982 0.2530
11 O 0.2280 0.3341 0.5158
12 Sr 0.6142 0.3790 0.7517
13 O 0.2713 0.9297 0.6083
14 Os 0.0191 0.9803 0.4668

## YThPb2 (PBE)

Data for a relaxed YThPb2 crystal.

Results
Its calculated volume is 30.9 Å³/atom. As for the polymorph energy (0 for the lowest one): 0.000 eV/atom. The space group is Amm2, No. 38.

abc: 4.5018 4.6154 6.3563
angles: 90.00 110.77 90.00
Fractional coordinates of all 4 atoms:
1 Pb 0.9811 0.0000 0.5006
2 Pb 0.1833 0.5000 0.9060
3 Y 0.7137 0.0000 0.9665
4 Th 0.4529 0.5000 0.4448

## Tm3Hg2Pd3 (PBE)

Data for a relaxed Tm3Hg2Pd3 crystal.

Results
Its calculated volume is 22.1 Å³/atom. As for the polymorph energy (0 for the lowest one): 0.049 eV/atom. The space group is P6_3/mcm, No. 193.

abc: 5.7600 8.4127 8.4127
angles: 120.00 90.00 90.00
Fractional coordinates of all 16 atoms:
1 Hg 0.5000 0.3333 0.6667
2 Hg 0.0000 0.3333 0.6667
3 Hg 0.5000 0.6667 0.3333
4 Tm 0.2500 0.7218 0.0000
5 Pd 0.7500 0.3749 0.3749
6 Tm 0.2500 0.2782 0.2782
7 Tm 0.7500 0.7218 0.7218
8 Pd 0.2500 0.6251 0.6251
9 Pd 0.7500 0.6251 0.0000
10 Tm 0.7500 0.2782 0.0000
11 Pd 0.2500 0.3749 0.0000
12 Hg 0.0000 0.6667 0.3333
13 Tm 0.7500 0.0000 0.2782
14 Pd 0.7500 0.0000 0.6251
15 Tm 0.2500 0.0000 0.7218
16 Pd 0.2500 0.0000 0.3749

## DyY3Ru2 (PBE)

Data for a relaxed DyY3Ru2 crystal.

Results
Its calculated volume is 26.7 Å³/atom. As for the uncorrected energy: -87.67 eV for the cell shown. The space group is Ibam, No. 72.

abc: 6.7279 7.0536 8.3355
angles: 115.03 113.80 90.00
Fractional coordinates of all 12 atoms:
1 Dy 0.0000 0.0000 0.0000
2 Ru 0.1429 0.8664 0.7328
3 Y 0.7649 0.0149 0.5297
4 Ru 0.8571 0.1336 0.2672
5 Ru 0.4100 0.6336 0.2672
6 Dy 0.0000 0.5000 0.0000
7 Ru 0.5900 0.3664 0.7328
8 Y 0.5000 0.2500 0.0000
9 Y 0.2351 0.9851 0.4703
10 Y 0.7649 0.5149 0.5297
11 Y 0.5000 0.7500 0.0000
12 Y 0.2351 0.4851 0.4703

## Hg2Ge2Bi (PBE)

Data for a relaxed Hg2Ge2Bi crystal.

Results
Its calculated volume is 25.6 Å³/atom. As for the polymorph energy (0 for the lowest one): 0.017 eV/atom. The space group is I4/mmm, No. 139.

abc: 4.2435 4.2435 7.7078
angles: 74.02 74.02 90.00
Fractional coordinates of all 5 atoms:
1 Ge 0.4076 0.4076 0.1848
2 Hg 0.2500 0.7500 0.5000
3 Bi 0.0000 0.0000 0.0000
4 Ge 0.5924 0.5924 0.8152
5 Hg 0.7500 0.2500 0.5000

## BaLi2Ir (PBE)

Data for a relaxed BaLi2Ir crystal.

Results
Its calculated volume is 25.2 Å³/atom. As for the polymorph energy (0 for the lowest one): 0.158 eV/atom. The space group is I-42d, No. 122.

abc: 4.7533 4.7533 9.5338
angles: 75.56 75.56 90.00
Fractional coordinates of all 8 atoms:
1 Ir 0.7500 0.2500 0.5000
2 Ba 0.5000 0.5000 0.0000
3 Li 0.8750 0.1091 0.7500
4 Ir 0.0000 0.0000 0.0000
5 Li 0.8909 0.6250 0.2500
6 Li 0.3750 0.1409 0.7500
7 Li 0.8591 0.1250 0.2500
8 Ba 0.2500 0.7500 0.5000

## PdSeO2F (PBE)

Data for a relaxed PdSeO2F crystal.

Results
Its calculated volume is 13.1 Å³/atom. The calculation puts the formation energy from raw total energies at -0.09 eV/atom. The space group is P4/mmm, No. 123.

abc: 3.9448 3.9448 4.2151
angles: 90.00 90.00 90.00
Fractional coordinates of all 5 atoms:
1 F 0.0000 0.0000 0.5000
2 Pd 0.5000 0.5000 0.5000
3 Se 0.0000 0.0000 0.0000
4 O 0.5000 0.0000 0.0000
5 O 0.0000 0.5000 0.0000

## HoBeGa (PBE)

Data for a relaxed HoBeGa crystal.

Results
Its calculated volume is 17.7 Å³/atom. As for the polymorph energy (0 for the lowest one): 0.350 eV/atom. The space group is I4mm, No. 107.

abc: 3.1558 3.1558 5.7890
angles: 105.82 105.82 90.00
Fractional coordinates of all 3 atoms:
1 Ho 0.9927 0.9927 0.9853
2 Be 0.3093 0.3093 0.6186
3 Ga 0.6980 0.6980 0.3960

## SmZnSn (PBE)

Data for a relaxed SmZnSn crystal.

Results
Its calculated volume is 23.6 Å³/atom. As for the uncorrected energy: -23.39 eV for the cell shown. The space group is P6_3/mmc, No. 194.

abc: 4.6874 4.6874 7.4521
angles: 90.00 90.00 120.00
Fractional coordinates of all 6 atoms:
1 Sm 0.0000 0.0000 0.5000
2 Sn 0.3333 0.6667 0.7500
3 Sm 0.0000 0.0000 0.0000
4 Zn 0.3333 0.6667 0.2500
5 Zn 0.6667 0.3333 0.7500
6 Sn 0.6667 0.3333 0.2500

## ZrW2Cl (PBE)

Data for a relaxed ZrW2Cl crystal.

Results
Its calculated volume is 18.6 Å³/atom. The calculation puts the formation energy from raw total energies at 0.41 eV/atom. As for the polymorph energy (0 for the lowest one): 0.442 eV/atom. The space group is Cm, No. 8.

abc: 4.9382 4.9382 5.3606
angles: 70.35 70.35 37.51
Fractional coordinates of all 4 atoms:
1 W 0.0198 0.0198 0.0554
2 Zr 0.4629 0.4629 0.5775
3 W 0.3014 0.3014 0.2047
4 Cl 0.7159 0.7159 0.6624

## Cs3K3RbNa2 (PBE)

Data for a relaxed Cs3K3RbNa2 crystal.

Results
Its calculated volume is 78.1 Å³/atom. As for the uncorrected energy: -8.98 eV for the cell shown. The space group is P-62m, No. 189.

abc: 4.7345 13.0894 13.0894
angles: 120.00 90.00 90.00
Fractional coordinates of all 9 atoms:
1 K 0.0000 0.3626 0.0000
2 Cs 0.5000 0.0000 0.6764
3 Rb 0.0000 0.0000 0.0000
4 Cs 0.5000 0.6764 0.0000
5 Na 0.5000 0.3333 0.6667
6 K 0.0000 0.0000 0.3626
7 Na 0.5000 0.6667 0.3333
8 Cs 0.5000 0.3236 0.3236
9 K 0.0000 0.6374 0.6374

## NbTc3Ni (PBE)

Data for a relaxed NbTc3Ni crystal.

Results
Its calculated volume is 17.1 Å³/atom. As for the polymorph energy (0 for the lowest one): 0.000 eV/atom. The space group is Pm-3m, No. 221.

abc: 4.4013 4.4013 4.4013
angles: 90.00 90.00 90.00
Fractional coordinates of all 5 atoms:
1 Nb 0.5000 0.5000 0.5000
2 Tc 0.0000 0.5000 0.0000
3 Ni 0.0000 0.0000 0.0000
4 Tc 0.0000 0.0000 0.5000
5 Tc 0.5000 0.0000 0.0000

## ScCrPd3 (PBE)

Data for a relaxed ScCrPd3 crystal.

Results
Its calculated volume is 20.6 Å³/atom. As for the polymorph energy (0 for the lowest one): 0.583 eV/atom. The space group is Pm-3m, No. 221.

abc: 4.6880 4.6880 4.6880
angles: 90.00 90.00 90.00
Fractional coordinates of all 5 atoms:
1 Cr 0.5000 0.5000 0.5000
2 Sc 0.0000 0.0000 0.0000
3 Pd 0.5000 0.0000 0.0000
4 Pd 0.0000 0.0000 0.5000
5 Pd 0.0000 0.5000 0.0000

## Ag2OsRh (PBE)

Data for a relaxed Ag2OsRh crystal.

Results
Its calculated volume is 15.9 Å³/atom. As for the polymorph energy (0 for the lowest one): 0.396 eV/atom. The space group is Pmmm, No. 47.

abc: 2.6848 4.4195 5.3560
angles: 90.00 90.00 90.00
Fractional coordinates of all 4 atoms:
1 Ag 0.0000 0.0000 0.7506
2 Os 0.5000 0.5000 0.0000
3 Rh 0.5000 0.5000 0.5000
4 Ag 0.0000 0.0000 0.2494

## LaTbCoPd (PBE)

Data for a relaxed LaTbCoPd crystal.

Results
Its calculated volume is 21.9 Å³/atom. As for the uncorrected energy: -23.38 eV for the cell shown. The space group is F-43m, No. 216.

abc: 4.9843 4.9843 4.9843
angles: 60.00 60.00 60.00
Fractional coordinates of all 4 atoms:
1 La 0.7500 0.7500 0.7500
2 Co 0.0000 0.0000 0.0000
3 Tb 0.2500 0.2500 0.2500
4 Pd 0.5000 0.5000 0.5000

## ScReO2 (PBE)

Data for a relaxed ScReO2 crystal.

Results
Its calculated volume is 12.5 Å³/atom. The calculation puts the formation energy from raw total energies at -1.89 eV/atom. As for the polymorph energy (0 for the lowest one): 0.000 eV/atom. The space group is R-3m, No. 166.

abc: 6.5378 6.5378 6.5378
angles: 26.77 26.77 26.77
Fractional coordinates of all 4 atoms:
1 O 0.1071 0.1071 0.1071
2 O 0.8929 0.8929 0.8929
3 Sc 0.5000 0.5000 0.5000
4 Re 0.0000 0.0000 0.0000

## BaMg2Sb2 (PBE)

Data for a relaxed BaMg2Sb2 crystal.

Results
Its calculated volume is 33.1 Å³/atom. The calculation puts the formation energy from raw total energies at -0.77 eV/atom. The space group is P-3m1, No. 164.

abc: 4.8265 4.8265 8.2142
angles: 90.00 90.00 120.00
Fractional coordinates of all 5 atoms:
1 Mg 0.6667 0.3333 0.3760
2 Sb 0.6667 0.3333 0.7319
3 Sb 0.3333 0.6667 0.2681
4 Mg 0.3333 0.6667 0.6240
5 Ba 0.0000 0.0000 0.0000